1.
The following is a DFT calculation (PBE) of CsGaSnH after structural relaxation.

Cell and atoms, written as POSCAR:
```
CsGaSnH
1.0
0.000 2.841 7.232
2.583 0.000 7.232
2.583 2.841 0.000
Cs Ga Sn H
1 1 1 1
direct
0.000 0.000 0.000
0.293 0.293 0.707
0.711 0.711 0.289
0.410 0.410 0.590
```

Values from the calculation:
Uncorrected energy   -2.913 eV per atom
Space-group type   No. 42
Mass density   5.04 g cm⁻³

2.
The following is a DFT calculation (PBE) of NdY2Mg6 after structural relaxation.

Cell and atoms, written as POSCAR:
```
NdY2Mg6
1.0
9.089 0.000 0.000
-4.544 7.871 0.000
0.000 0.000 3.350
Nd Y Mg
1 2 6
direct
0.000 0.000 0.000
0.333 0.667 0.000
0.667 0.333 0.000
0.000 0.336 0.500
0.000 0.664 0.500
0.336 0.000 0.500
0.336 0.336 0.500
0.664 0.000 0.500
0.664 0.664 0.500
```

Values from the calculation:
Uncorrected energy   -3.114 eV per atom
Space-group type   No. 191
Mass density   3.24 g cm⁻³

3.
The following is a DFT calculation (PBE) of ScS2I after structural relaxation.

Cell and atoms, written as POSCAR:
```
ScS2I
1.0
1.971 1.138 7.867
-1.971 1.138 7.867
0.000 -2.275 7.867
Sc S I
1 2 1
direct
0.000 0.000 0.000
0.389 0.389 0.389
0.611 0.611 0.611
0.500 0.500 0.500
```

Values from the calculation:
Raw formation energy   -1.065 eV/atom
Space-group type   No. 166
Mass density   3.70 g cm⁻³

4.
The following is a DFT calculation (PBE) of RbNi2IrN after structural relaxation.

Cell and atoms, written as POSCAR:
```
RbNi2IrN
1.0
4.398 0.000 0.000
0.000 4.398 0.000
0.000 0.000 3.887
Rb Ni Ir N
1 2 1 1
direct
0.000 0.000 0.000
0.000 0.500 0.500
0.500 0.000 0.500
0.500 0.500 0.000
0.500 0.500 0.500
```

Values from the calculation:
Raw formation energy   0.813 eV/atom
Space-group type   No. 123
Mass density   9.03 g cm⁻³

5.
The following is a DFT calculation (PBE) of TaMo after structural relaxation.

Cell and atoms, written as POSCAR:
```
TaMo
1.0
5.360 0.000 0.000
0.000 4.553 0.000
-1.032 0.000 5.538
Ta Mo
4 4
direct
0.007 0.000 0.250
0.260 0.500 0.623
0.740 0.500 0.377
0.993 0.000 0.750
0.247 0.500 0.119
0.500 0.000 0.000
0.500 0.000 0.500
0.753 0.500 0.881
```

Values from the calculation:
Uncorrected energy   -11.481 eV per atom
Space-group type   No. 10
Mass density   13.61 g cm⁻³

6.
The following is a DFT calculation (PBE) of Dy2ErMnS6 after structural relaxation.

Cell and atoms, written as POSCAR:
```
Dy2ErMnS6
1.0
6.576 0.000 0.000
3.117 5.934 0.000
0.016 3.684 5.972
Dy Er Mn S
2 1 1 6
direct
0.000 0.000 0.000
0.496 0.002 0.510
0.703 0.585 0.112
0.198 0.596 0.598
0.097 0.492 0.337
0.305 0.743 0.813
0.407 0.753 0.340
0.576 0.095 0.832
0.818 0.090 0.319
0.930 0.498 0.803
```

Values from the calculation:
Raw formation energy   -1.605 eV/atom
Space-group type   No. 1
Mass density   5.27 g cm⁻³

7.
The following is a DFT calculation (PBE) of ZrSc2Be after structural relaxation.

Cell and atoms, written as POSCAR:
```
ZrSc2Be
1.0
-1.656 2.356 5.068
1.656 -2.356 5.068
1.656 2.356 -5.068
Zr Sc Be
1 2 1
direct
0.000 0.000 0.000
0.289 0.789 0.500
0.711 0.211 0.500
0.500 0.500 0.000
```

Values from the calculation:
Uncorrected energy   -6.206 eV per atom
Space-group type   No. 71
Mass density   3.99 g cm⁻³

8.
The following is a DFT calculation (PBE) of ScPbO2F after structural relaxation.

Cell and atoms, written as POSCAR:
```
ScPbO2F
1.0
4.178 0.000 0.000
0.000 4.178 0.000
0.000 0.000 4.083
Sc Pb O F
1 1 2 1
direct
0.000 0.000 0.000
0.500 0.500 0.500
0.000 0.500 0.000
0.500 0.000 0.000
0.000 0.000 0.500
```

Values from the calculation:
Raw formation energy   -2.552 eV/atom
Space-group type   No. 123
Mass density   7.06 g cm⁻³

9.
The following is a DFT calculation (PBE) of Si2AsPt after structural relaxation.

Cell and atoms, written as POSCAR:
```
Si2AsPt
1.0
-1.382 2.425 4.875
1.382 -2.425 4.875
1.382 2.425 -4.875
Si As Pt
2 1 1
direct
0.228 0.228 0.000
0.772 0.772 0.000
0.500 0.000 0.500
0.000 0.500 0.500
```

Values from the calculation:
Raw formation energy   0.190 eV/atom
Space-group type   No. 71
Mass density   8.29 g cm⁻³

10.
The following is a DFT calculation (PBE) of YGa3CoRh after structural relaxation.

Cell and atoms, written as POSCAR:
```
YGa3CoRh
1.0
3.866 -5.267 0.000
3.866 5.267 0.000
0.000 0.000 5.441
Y Ga Co Rh
2 6 2 2
direct
0.210 0.790 0.750
0.790 0.210 0.250
0.250 0.250 0.000
0.250 0.250 0.500
0.322 0.678 0.250
0.678 0.322 0.750
0.750 0.750 0.000
0.750 0.750 0.500
0.459 0.541 0.750
0.541 0.459 0.250
0.088 0.912 0.250
0.912 0.088 0.750
```

Values from the calculation:
Uncorrected energy   -5.415 eV per atom
Space-group type   No. 63
Mass density   6.89 g cm⁻³

> Which formula does entry 6 have?

Dy2ErMnS6

> Which value of mass density does entry 7 give?

3.99 g cm⁻³

> Among the records above, which one has the lowest mass density?

NdY2Mg6